{"formula": "ZrSc2Be", "functional": "SCAN", "state": "PBEsol geometry", "dos_at_fermi_per_ev_cell": 3.9, "vol_a3_per_atom": 19.4, "ef_ev_per_fu": 0.0, "crystal_system": "tetragonal", "spacegroup": "P4mm (99)", "lattice_angstrom": [[3.159, 0.000, 0.000], [0.000, 3.159, 0.000], [0.000, 0.000, 7.761]], "species": ["Sc", "Sc", "Be", "Zr"], "fractional_positions": [[0.000, 0.000, 0.948], [0.500, 0.500, 0.261], [0.500, 0.500, 0.748], [0.000, 0.000, 0.543]]}

***

{"formula": "MgTl2In", "functional": "SCAN", "state": "PBEsol geometry", "dos_at_fermi_per_ev_cell": 1.7, "vol_a3_per_atom": 26.1, "ef_ev_per_fu": 0.2, "crystal_system": "cubic", "spacegroup": "F-43m (216)", "lattice_angstrom": [[-4.678, 1.239, -2.126], [-3.603, -3.775, -0.844], [-4.378, -0.183, 2.956]], "species": ["Tl", "Tl", "Mg", "In"], "fractional_positions": [[0.000, 0.000, 0.000], [0.750, 0.750, 0.750], [0.250, 0.250, 0.250], [0.500, 0.500, 0.500]]}

***

{"formula": "KCdTe", "functional": "SCAN", "state": "PBEsol geometry", "dos_at_fermi_per_ev_cell": 2.0, "vol_a3_per_atom": 34.2, "raw_formation_energy_mev_per_atom": -415, "crystal_system": "cubic", "spacegroup": "F-43m (216)", "lattice_angstrom": [[-2.127, 3.572, 3.216], [-4.920, 1.664, -0.807], [-3.826, -1.401, 3.320]], "species": ["Cd", "K", "Te"], "fractional_positions": [[0.250, 0.250, 0.250], [0.000, 0.000, 0.000], [0.500, 0.500, 0.500]]}